Entry 1:
Density functional theory data (PBE) for an optimized crystal structure of YFeSbIr.

abc: 4.673 4.673 4.673
angles: 60.00 60.00 60.00
Sites, in units of the cell vectors:
Y 0.000 0.000 0.000
Fe 0.750 0.750 0.750
Sb 0.500 0.500 0.500
Ir 0.250 0.250 0.250

E_tot in Ha/atom: -0.263
SG: F-43m

Entry 2:
Density functional theory data (PBE) for an optimized crystal structure of ZnFeSbIr.

abc: 4.378 4.378 4.378
angles: 60.00 60.00 60.00
Sites, in units of the cell vectors:
Zn 0.000 0.000 0.000
Fe 0.750 0.750 0.750
Sb 0.500 0.500 0.500
Ir 0.250 0.250 0.250

E_tot in Ha/atom: -0.204
SG: F-43m

Entry 3:
Density functional theory data (PBE) for an optimized crystal structure of ScFeIr2.

abc: 4.418 4.418 4.418
angles: 60.00 60.00 60.00
Sites, in units of the cell vectors:
Sc 0.000 0.000 0.000
Fe 0.250 0.250 0.250
Ir 0.500 0.500 0.500
Ir 0.750 0.750 0.750

DFT formation energy in eV per formula unit: -0.8
SG: F-43m